# 1
# LiLuGePt

A relaxed structure of LiLuGePt (PBE, OQMD).

Values from the calculation:
spin magnetization: 0.00 μB per formula unit
E above lowest polymorph: 136 meV/atom

Cell lengths 6.5832, 6.5832, 6.5832 Å; angles 90.00, 90.00, 90.00 degrees
Closest atoms and distances in Å follow each position.
Space group F-43m (No. 216)
Asymmetric unit:
Li: 0.0000 0.0000 0.0000 x4  4 Ge 2.85, 4 Pt 2.85
Lu: 0.0000 0.0000 0.5000 x4  4 Pt 2.85, 4 Ge 2.85
Ge: 0.2500 0.2500 0.7500 x4  4 Lu 2.85, 4 Li 2.85
Pt: 0.2500 0.2500 0.2500 x4  4 Li 2.85, 4 Lu 2.85



# 2
# LiLuGePt

A relaxed structure of LiLuGePt (PBE, OQMD).

Values from the calculation:
spin magnetization: 0.00 μB per formula unit
E above lowest polymorph: 0 meV/atom

Cell lengths 6.4371, 6.4371, 6.4371 Å; angles 90.00, 90.00, 90.00 degrees
Closest atoms and distances in Å follow each position.
Space group F-43m (No. 216)
Asymmetric unit:
Li: 0.0000 0.0000 0.0000 x4  4 Ge 2.79, 4 Lu 2.79
Lu: 0.2500 0.2500 0.7500 x4  4 Li 2.79, 4 Pt 2.79
Ge: 0.2500 0.2500 0.2500 x4  4 Li 2.79, 4 Pt 2.79
Pt: 0.0000 0.0000 0.5000 x4  4 Ge 2.79, 4 Lu 2.79



# 3
# LiLuGePt

A relaxed structure of LiLuGePt (PBE, OQMD).

Values from the calculation:
spin magnetization: 0.00 μB per formula unit
E above lowest polymorph: 136 meV/atom

Cell lengths 6.4033, 6.4033, 6.4033 Å; angles 90.00, 90.00, 90.00 degrees
Closest atoms and distances in Å follow each position.
Space group F-43m (No. 216)
Asymmetric unit:
Li: 0.0000 0.0000 0.0000 x4  4 Lu 2.77, 4 Pt 2.77
Lu: 0.2500 0.2500 0.7500 x4  4 Ge 2.77, 4 Li 2.77
Ge: 0.0000 0.0000 0.5000 x4  4 Pt 2.77, 4 Lu 2.77
Pt: 0.2500 0.2500 0.2500 x4  4 Li 2.77, 4 Ge 2.77